Below is an optimized crystal structure of Ac2FeS2O2, with properties calculated at the GGA+U level.

Values from the calculation:
- Total magnetization: 4.0 μB per cell
- Space group: I4/mmm, No. 139
- Final energy: -6.776 eV/atom

```
7
Lattice="-3.106 -2.534 1.195 2.537 -3.302 -0.406 2.443 3.686 6.843" Properties=species:S:1:pos:R:3 pbc="T T T"
Ac 1.636 0.582 5.486
Ac 0.238 -2.732 2.147
Fe 0.000 0.000 0.000
S 0.756 0.269 2.535
S 1.118 -2.419 5.097
O 1.269 -1.651 -0.203
O -1.553 -1.267 0.598
```